Entry one
Density functional theory data (PBE-GGA) for a relaxed structure of MnNi2Os.

Output
Calculated density ... 12.5 g/cm³
DOS at the Fermi energy ... 1.717 states/eV per atom
Crystal system ... tetragonal
V ... 12.02 Å³ per atom
Total magnetic moment ... 2.1 μB/cell

a b c (Å): 3.599 3.599 3.713
angles (deg): 90.00 90.00 90.00
Fractional coordinates of all 4 atoms:
Mn: 0.000 0.000 0.000
Ni: 0.000 0.500 0.500
Ni: 0.500 0.000 0.500
Os: 0.500 0.500 0.000

---

Entry two
Density functional theory data (PBE-GGA) for a relaxed structure of MnNi2Os.

Output
Calculated density ... 12.4 g/cm³
DOS at the Fermi energy ... 1.116 states/eV per atom
Crystal system ... orthorhombic
V ... 12.17 Å³ per atom
Total magnetic moment ... 2.5 μB/cell

a b c (Å): 3.989 4.975 4.975
angles (deg): 29.53 90.00 90.00
Fractional coordinates of all 4 atoms:
Mn: 0.000 0.000 0.000
Ni: 0.000 0.745 0.745
Ni: 0.500 0.613 0.613
Os: 0.500 0.352 0.352

---

It is entry one that is most stable; the runner-up trails by 14 meV per atom.

---

Entry one
Density functional theory data (PBE-GGA) for a relaxed structure of MnNi2Os.

Output
Calculated density ... 12.3 g/cm³
DOS at the Fermi energy ... 1.079 states/eV per atom
Crystal system ... monoclinic
V ... 12.21 Å³ per atom
Total magnetic moment ... 2.8 μB/cell

a b c (Å): 4.466 4.466 4.434
angles (deg): 99.77 99.77 34.14
Fractional coordinates of all 4 atoms:
Mn: 0.000 0.000 0.000
Ni: 0.249 0.249 0.747
Ni: 0.751 0.751 0.253
Os: 0.500 0.500 0.500

---

Entry two
Density functional theory data (PBE-GGA) for a relaxed structure of MnNi2Os.

Output
Calculated density ... 12.5 g/cm³
DOS at the Fermi energy ... 1.021 states/eV per atom
Crystal system ... tetragonal
V ... 12.04 Å³ per atom
Total magnetic moment ... 2.0 μB/cell

a b c (Å): 4.504 4.504 4.504
angles (deg): 132.90 132.90 68.81
Fractional coordinates of all 4 atoms:
Mn: 0.000 0.000 0.000
Ni: 0.250 0.750 0.500
Ni: 0.750 0.250 0.500
Os: 0.500 0.500 0.000

---

It is entry two that is most stable; the runner-up trails by 29 meV per atom.

---

Entry one
Density functional theory data (PBE-GGA) for a relaxed structure of MnNi2Os.

Output
Calculated density ... 12.6 g/cm³
DOS at the Fermi energy ... 1.303 states/eV per atom
Crystal system ... orthorhombic
V ... 11.97 Å³ per atom
Total magnetic moment ... 1.5 μB/cell

a b c (Å): 2.587 3.618 5.114
angles (deg): 90.00 90.00 90.00
Fractional coordinates of all 4 atoms:
Mn: 0.000 0.000 0.000
Ni: 0.000 0.000 0.491
Ni: 0.500 0.500 0.255
Os: 0.500 0.500 0.752

---

Entry two
Density functional theory data (PBE-GGA) for a relaxed structure of MnNi2Os.

Output
Calculated density ... 12.7 g/cm³
DOS at the Fermi energy ... 1.775 states/eV per atom
Crystal system ... cubic
V ... 11.86 Å³ per atom
Total magnetic moment ... 0.0 μB/cell

a b c (Å): 4.063 4.063 4.063
angles (deg): 60.00 60.00 60.00
Fractional coordinates of all 4 atoms:
Mn: 0.000 0.000 0.000
Ni: 0.250 0.250 0.250
Ni: 0.750 0.750 0.750
Os: 0.500 0.500 0.500

---

It is entry one that is most stable; the runner-up trails by 306 meV per atom.